Record 1
Density functional theory data (PBE-GGA) for an optimized crystal structure of Pa3InTe6.

Values from the calculation:
Fermi-level density of states ... 14.3 states/eV/f.u.
Excess energy over the best structure of this formula in the dataset ... 0 meV/atom
Magnetic moment ... 8.03 Bohr magnetons per cell
V ... 361.6 Å³/f.u.
E_form (uncorrected) ... -0.649 eV per atom
DFT total energy ... -113.13 eV for the cell shown

Geometry as CIF:
```
data_Pa3InTe6
_cell_length_a 13.230
_cell_length_b 4.280
_cell_length_c 13.477
_cell_angle_alpha 90.00
_cell_angle_beta 108.59
_cell_angle_gamma 90.00
_space_group_name_H-M_alt 'P 1 21/m 1'
_space_group_IT_number 11
loop_
_space_group_symop_operation_xyz
'x,y,z'
'-x,-y,-z'
'-x,y+1/2,-z'
'x,-y+1/2,z'
loop_
_atom_site_label
_atom_site_fract_x
_atom_site_fract_y
_atom_site_fract_z
Pa1 0.017 0.250 0.118
Pa2 0.225 0.250 0.774
Pa3 0.349 0.750 0.456
In1 0.391 0.750 0.119
Te1 0.057 0.750 0.687
Te2 0.166 0.250 0.977
Te3 0.175 0.750 0.241
Te4 0.241 0.250 0.550
Te5 0.394 0.750 0.868
Te6 0.450 0.250 0.352
```

***

Record 2
Density functional theory data (PBE-GGA) for an optimized crystal structure of PaIn2Te6.

Values from the calculation:
Fermi-level density of states ... 3.4 states/eV/f.u.
Magnetic moment ... 3.22 Bohr magnetons per cell
V ... 347.8 Å³/f.u.
E_form (uncorrected) ... -0.344 eV per atom
DFT total energy ... -147.67 eV for the cell shown

Geometry as CIF:
```
data_PaIn2Te6
_cell_length_a 14.001
_cell_length_b 12.926
_cell_length_c 7.920
_cell_angle_alpha 90.00
_cell_angle_beta 103.92
_cell_angle_gamma 90.00
_space_group_name_H-M_alt 'C 1 2/c 1'
_space_group_IT_number 15
loop_
_space_group_symop_operation_xyz
'x,y,z'
'-x,-y,-z'
'-x,y,-z+1/2'
'x,-y,z+1/2'
'x+1/2,y+1/2,z'
'-x+1/2,-y+1/2,-z'
'-x+1/2,y+1/2,-z+1/2'
'x+1/2,-y+1/2,z+1/2'
loop_
_atom_site_label
_atom_site_fract_x
_atom_site_fract_y
_atom_site_fract_z
Pa1 0.000 0.094 0.250
In1 0.175 0.418 0.314
Te1 0.095 0.410 0.610
Te2 0.113 0.084 0.629
Te3 0.153 0.221 0.155
```

***

Record 3
Density functional theory data (PBE-GGA) for an optimized crystal structure of PaTlIn2Te4.

Values from the calculation:
Fermi-level density of states ... 3.4 states/eV/f.u.
Magnetic moment ... 0.25 Bohr magnetons per cell
V ... 287.3 Å³/f.u.
E_form (uncorrected) ... -0.480 eV per atom
DFT total energy ... -33.74 eV for the cell shown

Geometry as CIF:
```
data_PaTlIn2Te4
_cell_length_a 8.168
_cell_length_b 4.463
_cell_length_c 8.257
_cell_angle_alpha 90.00
_cell_angle_beta 107.34
_cell_angle_gamma 90.00
_space_group_name_H-M_alt 'P 1 2/m 1'
_space_group_IT_number 10
loop_
_space_group_symop_operation_xyz
'x,y,z'
'-x,-y,-z'
'-x,y,-z'
'x,-y,z'
loop_
_atom_site_label
_atom_site_fract_x
_atom_site_fract_y
_atom_site_fract_z
Pa1 0.000 0.000 0.000
Tl1 0.000 0.500 0.500
In1 0.500 0.000 0.500
In2 0.500 0.500 0.000
Te1 0.224 0.500 0.214
Te2 0.235 0.000 0.785
```